1.
VASP calculation (meta-GGA SCAN) on MgGa3N at its PBEsol-relaxed geometry.

Geometry as POSCAR:
```
MgGa3N
1.0
5.018 0.000 0.000
0.000 5.018 0.000
0.000 0.000 5.018
Mg Ga N
1 3 1
Direct
0.000 0.000 0.000
0.000 0.000 0.500
0.000 0.500 0.000
0.500 0.000 0.000
0.500 0.500 0.500
```

SG: Pm-3m (221)
Offset from the most stable computed form in eV per atom: 1.027
Calculated total energy in eV per atom: -11.20

2.
VASP calculation (meta-GGA SCAN) on Mg3GaN at its PBEsol-relaxed geometry.

Geometry as POSCAR:
```
Mg3GaN
1.0
4.264 0.000 0.000
0.000 4.264 0.000
0.000 0.000 4.264
Mg Ga N
3 1 1
Direct
0.000 0.000 0.500
0.000 0.500 0.000
0.500 0.000 0.000
0.500 0.500 0.500
0.000 0.000 0.000
```

SG: Pm-3m (221)
Calculated total energy in eV per atom: -8.60

3.
VASP calculation (meta-GGA SCAN) on MgGa3N at its PBEsol-relaxed geometry.

Geometry as POSCAR:
```
MgGa3N
1.0
4.345 0.000 0.000
0.000 4.345 0.000
0.000 0.000 4.345
Mg Ga N
1 3 1
Direct
0.000 0.000 0.000
0.000 0.500 0.500
0.500 0.000 0.500
0.500 0.500 0.000
0.500 0.500 0.500
```

SG: Pm-3m (221)
Offset from the most stable computed form in eV per atom: 0.000
Calculated total energy in eV per atom: -12.23

4.
VASP calculation (meta-GGA SCAN) on MgGa2N at its PBEsol-relaxed geometry.

Geometry as POSCAR:
```
MgGa2N
1.0
0.000 3.151 3.151
3.151 0.000 3.151
3.151 3.151 0.000
Mg Ga N
1 2 1
Direct
0.000 0.000 0.000
0.250 0.250 0.250
0.750 0.750 0.750
0.500 0.500 0.500
```

SG: Fm-3m (225)
Calculated total energy in eV per atom: -10.75

5.
VASP calculation (meta-GGA SCAN) on MgGaTe2N at its PBEsol-relaxed geometry.

Geometry as POSCAR:
```
MgGaTe2N
1.0
5.760 0.000 0.000
0.000 5.760 0.000
0.000 0.000 3.465
Mg Ga Te N
1 1 2 1
Direct
0.000 0.000 0.000
0.500 0.500 0.500
0.000 0.500 0.500
0.500 0.000 0.500
0.500 0.500 0.000
```

SG: P4/mmm (123)
Calculated total energy in eV per atom: -20.67

6.
VASP calculation (meta-GGA SCAN) on NaMgGa3 at its PBEsol-relaxed geometry.

Geometry as POSCAR:
```
NaMgGa3
1.0
5.104 0.000 0.000
0.000 5.104 0.000
0.000 0.000 5.104
Na Mg Ga
1 1 3
Direct
0.000 0.000 0.000
0.500 0.500 0.500
0.000 0.500 0.500
0.500 0.000 0.500
0.500 0.500 0.000
```

E_form in eV/atom: 0.33
SG: Pm-3m (221)
Calculated total energy in eV per atom: -11.32

7.
VASP calculation (meta-GGA SCAN) on MgNbGa2Rh at its PBEsol-relaxed geometry.

Geometry as POSCAR:
```
MgNbGa2Rh
1.0
4.583 0.000 0.000
0.000 4.583 0.000
0.000 0.000 4.350
Mg Nb Ga Rh
1 1 2 1
Direct
0.000 0.000 0.000
0.500 0.500 0.500
0.000 0.500 0.000
0.500 0.000 0.000
0.000 0.000 0.500
```

E_form in eV/atom: 0.93
SG: P4/mmm (123)
Calculated total energy in eV per atom: -19.99

8.
VASP calculation (meta-GGA SCAN) on MgGaNi2 at its PBEsol-relaxed geometry.

Geometry as POSCAR:
```
MgGaNi2
1.0
0.000 2.915 2.915
2.915 0.000 2.915
2.915 2.915 0.000
Mg Ga Ni
1 1 2
Direct
0.000 0.000 0.000
0.500 0.500 0.500
0.250 0.250 0.250
0.750 0.750 0.750
```

E_form in eV/atom: -0.34
SG: Fm-3m (225)
Calculated total energy in eV per atom: -13.76